Below is crystalline Tb4PrNd15 at its relaxed geometry, with properties calculated at the GGA-PBE level.

Results
Total DFT energy (no corrections) ... -94.55 eV for the cell shown
Symmetry ... P4/mmm (123)
Magnetic moment ... 0.000 μB/f.u.
ρ ... 7.05 g/cm3
Crystal system ... tetragonal
Formation energy ... 0.013 eV/atom

abc: 5.1806 5.1806 25.8188
angles: 90.00 90.00 90.00
Element x y z (fractional)
Tb: 0.0000 0.0000 0.0995
Tb: 0.0000 0.0000 0.2987
Tb: 0.0000 0.0000 0.7013
Tb: 0.0000 0.0000 0.9005
Pr: 0.0000 0.0000 0.5000
Nd: 0.0000 0.5000 0.0000
Nd: 0.0000 0.5000 0.1991
Nd: 0.0000 0.5000 0.3984
Nd: 0.0000 0.5000 0.6016
Nd: 0.0000 0.5000 0.8009
Nd: 0.5000 0.0000 0.0000
Nd: 0.5000 0.0000 0.1991
Nd: 0.5000 0.0000 0.3984
Nd: 0.5000 0.0000 0.6016
Nd: 0.5000 0.0000 0.8009
Nd: 0.5000 0.5000 0.0995
Nd: 0.5000 0.5000 0.2983
Nd: 0.5000 0.5000 0.5000
Nd: 0.5000 0.5000 0.7017
Nd: 0.5000 0.5000 0.9005



Below is crystalline Hf2Mn2Pb at its relaxed geometry, with properties calculated at the GGA-PBE level.

Results
Total DFT energy (no corrections) ... -83.18 eV for the cell shown
Symmetry ... P4/mbm (127)
Magnetic moment ... 0.002 μB/f.u.
ρ ... 12.53 g/cm3
Crystal system ... tetragonal
Formation energy ... 0.072 eV/atom

abc: 7.1112 7.1112 3.5336
angles: 90.00 90.00 90.00
Element x y z (fractional)
Hf: 0.1824 0.3176 0.0000
Hf: 0.3176 0.8176 0.0000
Hf: 0.6824 0.1824 0.0000
Hf: 0.8176 0.6824 0.0000
Mn: 0.1026 0.6026 0.5000
Mn: 0.3974 0.1026 0.5000
Mn: 0.6026 0.8974 0.5000
Mn: 0.8974 0.3974 0.5000
Pb: 0.0000 0.0000 0.5000
Pb: 0.5000 0.5000 0.5000



Below is crystalline DyPd2Au6 at its relaxed geometry, with properties calculated at the GGA-PBE level.

Results
Total DFT energy (no corrections) ... -38.08 eV for the cell shown
Symmetry ... C2/m (12)
Magnetic moment ... 0.000 μB/f.u.
ρ ... 15.77 g/cm3
Crystal system ... monoclinic
Formation energy ... -0.381 eV/atom

abc: 6.6285 6.6285 6.6747
angles: 107.60 107.60 36.13
Element x y z (fractional)
Dy: 0.0000 0.0000 0.0000
Pd: 0.4481 0.4481 0.6706
Pd: 0.5519 0.5519 0.3294
Au: 0.1090 0.1090 0.6613
Au: 0.2251 0.2251 0.3388
Au: 0.3309 0.3309 0.9920
Au: 0.6691 0.6691 0.0080
Au: 0.7749 0.7749 0.6612
Au: 0.8910 0.8910 0.3387